[1]
TcAg2Ru (PBE-GGA, optimized geometry); crystal system = orthorhombic; space-group type = Immm (71); offset from the most stable computed form = 0.391 eV per atom; VASP energy = -5.714 eV/atom; total magnetic moment = 0.27 Bohr magnetons per cell; V = 16.04 Å³ per atom
1.0
-1.8713 5.0718 -1.5395
-4.6059 0.7260 -3.1391
2.4906 -1.8352 4.6930
Tc Ru Ag
1 1 2
direct
0.2500 0.7500 0.5000
0.7500 0.2500 0.5000
0.9989 0.9989 0.0000
0.5011 0.5011 0.0000



[2]
Pu5InSn2 (PBE-GGA, optimized geometry); crystal system = tetragonal; space-group type = I4/mmm (139); VASP energy = -10.541 eV/atom; total magnetic moment = 29.88 Bohr magnetons per cell; V = 26.24 Å³ per atom
1.0
6.0244 0.9642 -2.6337
-2.2434 5.6718 -2.6368
-0.5551 -0.9708 6.5496
Sn Pu In
2 5 1
direct
0.7778 0.2779 0.5000
0.2779 0.7779 0.5000
0.2781 0.7777 0.0000
0.7777 0.7778 0.4997
0.2776 0.2776 0.0000
0.2780 0.2780 0.5003
0.7777 0.2780 0.0000
0.7781 0.7781 0.0000



> Which of these has the highest total magnetic moment?

Pu5InSn2



> Look up the VASP energy of the second one.

-10.541 eV/atom



> Which formula does entry 2 have?

Pu5InSn2



What did the first record say?
TcAg2Ru (PBE-GGA, optimized geometry); crystal system = orthorhombic; space-group type = Immm (71); offset from the most stable computed form = 0.391 eV per atom; VASP energy = -5.714 eV/atom; total magnetic moment = 0.27 Bohr magnetons per cell; V = 16.04 Å³ per atom
1.0
-1.8713 5.0718 -1.5395
-4.6059 0.7260 -3.1391
2.4906 -1.8352 4.6930
Tc Ru Ag
1 1 2
direct
0.2500 0.7500 0.5000
0.7500 0.2500 0.5000
0.9989 0.9989 0.0000
0.5011 0.5011 0.0000